Arrangement a

A relaxed Dy3S2 crystal. Source: the Alexandria database, functional PBE-GGA.

a b c (Å): 7.401 7.401 7.401
angles (deg): 53.70 53.70 53.70
Atoms (fractional coordinates):
Dy 0.080 0.750 0.420
Dy 0.250 0.580 0.920
Dy 0.420 0.080 0.750
Dy 0.580 0.920 0.250
Dy 0.750 0.420 0.080
Dy 0.920 0.250 0.580
S 0.163 0.163 0.163
S 0.337 0.337 0.337
S 0.663 0.663 0.663
S 0.837 0.837 0.837

The calculation puts the magnetization at 0.00 μB per formula unit.


Arrangement b

A relaxed Dy3S2 crystal. Source: the Alexandria database, functional PBE-GGA.

a b c (Å): 9.781 9.781 9.781
angles (deg): 22.51 22.51 22.51
Atoms (fractional coordinates):
Dy 0.000 0.000 0.000
Dy 0.216 0.216 0.216
Dy 0.784 0.784 0.784
S 0.391 0.391 0.391
S 0.609 0.609 0.609

The calculation puts the magnetization at 0.63 μB per formula unit.


Here is how they stack up, most stable first: arrangement b, arrangement a.